# 1
4
Lattice="0.000 3.228 3.228 3.228 0.000 3.228 3.228 3.228 0.000" Properties=species:S:1:pos:R:3 comment="BaCuH2 PBE-GGA optimized geometry" total_energy_ev_per_cell=-12.3 m_tot_mub_per_atom=0.0000 sg="Fm-3m (225)" pbc="T T T"
Ba 3.228 3.228 3.228
Cu 0.000 0.000 0.000
H 1.614 1.614 1.614
H 4.842 4.842 4.842

=====

# 2
18
Lattice="-7.342 3.005 -0.077 3.538 -6.592 2.639 1.005 2.586 5.114" Properties=species:S:1:pos:R:3 comment="Ba2CuH6 PBE-GGA optimized geometry" total_energy_ev_per_cell=-61.9 m_tot_mub_per_atom=0.0000 sg="Cmce (64)" pbc="T T T"
Cu 0.000 0.000 0.000
Cu -1.400 -0.501 3.838
H -0.814 -0.290 2.237
H -1.985 -0.711 5.439
H 2.365 -5.557 2.346
H -6.169 1.970 0.216
H -4.817 1.650 5.077
H 0.001 1.298 4.584
H -3.422 2.147 1.242
H 2.018 -2.652 2.599
H -2.573 0.534 3.545
H -2.800 -2.299 3.092
H 0.623 -3.148 6.435
H -0.226 -1.536 4.131
Ba -5.298 2.938 2.865
Ba -0.360 -3.154 1.666
Ba -3.444 -0.434 0.896
Ba 2.499 -3.939 4.811

=====

# 3
4
Lattice="4.850 -1.266 0.091 1.341 -4.816 -0.378 2.236 -1.660 -4.168" Properties=species:S:1:pos:R:3 comment="BaCu2H PBE-GGA optimized geometry" total_energy_ev_per_cell=-10.5 m_tot_mub_per_atom=0.0000 sg="Fm-3m (225)" pbc="T T T"
Cu 6.320 -5.806 -3.341
Cu 2.107 -1.935 -1.114
Ba 4.213 -3.871 -2.228
H 0.000 0.000 0.000